Run A
# PBE SrMn3Ag, optimized geometry
data_SrMn3Ag
_cell_length_a 5.058
_cell_length_b 5.058
_cell_length_c 5.058
_cell_angle_alpha 90.00
_cell_angle_beta 90.00
_cell_angle_gamma 90.00
_symmetry_space_group_name_H-M 'P m -3 m'
_symmetry_Int_Tables_number 221
_symmetry_space_group_name_Hall '-P 4 2 3'
loop_
_atom_site_label
_atom_site_type_symbol
_atom_site_fract_x
_atom_site_fract_y
_atom_site_fract_z
Sr1 Sr 0.000 0.000 0.000
Mn1 Mn 0.000 0.500 0.500
Ag1 Ag 0.500 0.500 0.500
# Density of states at the Fermi level (states/eV/f.u.): 4.86

Run B
# PBE SrMn3Ag, optimized geometry
data_SrMn3Ag
_cell_length_a 5.099
_cell_length_b 5.099
_cell_length_c 5.099
_cell_angle_alpha 90.00
_cell_angle_beta 90.00
_cell_angle_gamma 90.00
_symmetry_space_group_name_H-M 'P m -3 m'
_symmetry_Int_Tables_number 221
_symmetry_space_group_name_Hall '-P 4 2 3'
loop_
_atom_site_label
_atom_site_type_symbol
_atom_site_fract_x
_atom_site_fract_y
_atom_site_fract_z
Sr1 Sr 0.000 0.000 0.000
Mn1 Mn 0.000 0.000 0.500
Ag1 Ag 0.500 0.500 0.500
# Density of states at the Fermi level (states/eV/f.u.): 2.82

Going by the energies, run A is most stable and the next is 1.186 eV/atom up.

Run A
# PBE TaMnAg, optimized geometry
data_TaMnAg
_cell_length_a 6.031
_cell_length_b 6.031
_cell_length_c 6.031
_cell_angle_alpha 90.00
_cell_angle_beta 90.00
_cell_angle_gamma 90.00
_symmetry_space_group_name_H-M 'F -4 3 m'
_symmetry_Int_Tables_number 216
_symmetry_space_group_name_Hall 'F -4 2 3'
loop_
_atom_site_label
_atom_site_type_symbol
_atom_site_fract_x
_atom_site_fract_y
_atom_site_fract_z
Ta1 Ta 0.000 0.000 0.000
Mn1 Mn 0.250 0.250 0.250
Ag1 Ag 0.000 0.000 0.500
# Density of states at the Fermi level (states/eV/f.u.): 3.42

Run B
# PBE TaMnAg, optimized geometry
data_TaMnAg
_cell_length_a 3.984
_cell_length_b 3.993
_cell_length_c 12.548
_cell_angle_alpha 90.00
_cell_angle_beta 90.00
_cell_angle_gamma 90.00
_symmetry_space_group_name_H-M 'F m m 2'
_symmetry_Int_Tables_number 42
_symmetry_space_group_name_Hall 'F 2 -2'
loop_
_atom_site_label
_atom_site_type_symbol
_atom_site_fract_x
_atom_site_fract_y
_atom_site_fract_z
Ta1 Ta 0.000 0.000 0.000
Mn1 Mn 0.000 0.000 0.654
Ag1 Ag 0.000 0.000 0.319
# Density of states at the Fermi level (states/eV/f.u.): 2.55

Going by the energies, run B is most stable and the next is 0.613 eV/atom up.

Run A
# PBE TaMnAg, optimized geometry
data_TaMnAg
_cell_length_a 6.141
_cell_length_b 6.141
_cell_length_c 6.141
_cell_angle_alpha 90.00
_cell_angle_beta 90.00
_cell_angle_gamma 90.00
_symmetry_space_group_name_H-M 'F -4 3 m'
_symmetry_Int_Tables_number 216
_symmetry_space_group_name_Hall 'F -4 2 3'
loop_
_atom_site_label
_atom_site_type_symbol
_atom_site_fract_x
_atom_site_fract_y
_atom_site_fract_z
Ta1 Ta 0.000 0.000 0.000
Mn1 Mn 0.250 0.250 0.750
Ag1 Ag 0.250 0.250 0.250
# Density of states at the Fermi level (states/eV/f.u.): 4.60

Run B
# PBE TaMnAg, optimized geometry
data_TaMnAg
_cell_length_a 3.202
_cell_length_b 3.202
_cell_length_c 9.445
_cell_angle_alpha 90.00
_cell_angle_beta 90.00
_cell_angle_gamma 90.00
_symmetry_space_group_name_H-M 'I 4 m m'
_symmetry_Int_Tables_number 107
_symmetry_space_group_name_Hall 'I 4 -2'
loop_
_atom_site_label
_atom_site_type_symbol
_atom_site_fract_x
_atom_site_fract_y
_atom_site_fract_z
Ta1 Ta 0.000 0.000 0.000
Mn1 Mn 0.000 0.000 0.624
Ag1 Ag 0.000 0.000 0.306
# Density of states at the Fermi level (states/eV/f.u.): 2.47

Going by the energies, run B is most stable and the next is 0.838 eV/atom up.

Run A
# PBE TaMn3Ag, optimized geometry
data_TaMn3Ag
_cell_length_a 4.738
_cell_length_b 4.738
_cell_length_c 4.738
_cell_angle_alpha 90.00
_cell_angle_beta 90.00
_cell_angle_gamma 90.00
_symmetry_space_group_name_H-M 'P m -3 m'
_symmetry_Int_Tables_number 221
_symmetry_space_group_name_Hall '-P 4 2 3'
loop_
_atom_site_label
_atom_site_type_symbol
_atom_site_fract_x
_atom_site_fract_y
_atom_site_fract_z
Ta1 Ta 0.000 0.000 0.000
Mn1 Mn 0.000 0.500 0.500
Ag1 Ag 0.500 0.500 0.500
# Density of states at the Fermi level (states/eV/f.u.): 6.49

Run B
# PBE TaMn3Ag, optimized geometry
data_TaMn3Ag
_cell_length_a 4.695
_cell_length_b 4.695
_cell_length_c 4.695
_cell_angle_alpha 90.00
_cell_angle_beta 90.00
_cell_angle_gamma 90.00
_symmetry_space_group_name_H-M 'P m -3 m'
_symmetry_Int_Tables_number 221
_symmetry_space_group_name_Hall '-P 4 2 3'
loop_
_atom_site_label
_atom_site_type_symbol
_atom_site_fract_x
_atom_site_fract_y
_atom_site_fract_z
Ta1 Ta 0.000 0.000 0.000
Mn1 Mn 0.000 0.000 0.500
Ag1 Ag 0.500 0.500 0.500
# Density of states at the Fermi level (states/eV/f.u.): 6.54

Going by the energies, run B is most stable and the next is 0.273 eV/atom up.